(1)
Crystalline Li2La2Pd at its relaxed geometry. Source: Alexandria via LeMat-Bulk, functional PBE.

Computed properties:
Spin magnetization, μB per atom: 0.0000
Uncorrected energy, eV/cell: -39.0
ΔE_f, eV per atom: -0.124
Symmetry: P4/mbm (127)

Cell: 6.810 6.810 5.076 Å, 90.00 90.00 90.00°
Sites, in units of the cell vectors:
Li 0.140 0.360 0.000
Li 0.360 0.860 0.000
Li 0.640 0.140 0.000
Li 0.860 0.640 0.000
La 0.181 0.681 0.500
La 0.319 0.181 0.500
La 0.681 0.819 0.500
La 0.819 0.319 0.500
Pd 0.000 0.000 0.000
Pd 0.500 0.500 0.000

(2)
Crystalline ReAsSeBr2 at its relaxed geometry. Source: Alexandria via LeMat-Bulk, functional PBE.

Computed properties:
Spin magnetization, μB per atom: 0.1600
Raw formation energy, meV per atom: 791
Uncorrected energy, eV/cell: -20.0
Symmetry: P4/mmm (123)

Cell: 5.092 5.092 4.780 Å, 90.00 90.00 90.00°
Sites, in units of the cell vectors:
Re 0.000 0.000 0.000
As 0.500 0.500 0.500
Se 0.000 0.000 0.500
Br 0.000 0.500 0.000
Br 0.500 0.000 0.000

(3)
Crystalline KTe3As at its relaxed geometry. Source: Alexandria via LeMat-Bulk, functional PBE.

Computed properties:
Spin magnetization, μB per atom: 0.0000
Raw formation energy, meV per atom: -326
Uncorrected energy, eV/cell: -33.6
Symmetry: P2_1 (4)

Cell: 6.183 10.009 7.180 Å, 90.00 91.20 90.00°
Sites, in units of the cell vectors:
K 0.167 0.000 0.015
K 0.833 0.500 0.985
Te 0.276 0.122 0.533
Te 0.323 0.364 0.738
Te 0.332 0.667 0.907
Te 0.668 0.167 0.093
Te 0.677 0.864 0.262
Te 0.724 0.622 0.467
As 0.308 0.599 0.557
As 0.692 0.099 0.443